[1]
Entry from the Open Quantum Materials Database: a relaxed SrTl2H6Pt crystal (PBE).

abc: 5.9656 5.9656 5.9656
angles: 60.00 60.00 60.00
Closest atoms and distances in Å follow each position.
Positions (direct):
Sr 0.0000 0.0000 0.0000  6 H 2.53
Tl 0.2500 0.2500 0.2500  12 H 3.01
Tl 0.7500 0.7500 0.7500  12 H 3.01
H 0.3004 0.3004 0.6996  1 Pt 1.68
H 0.3004 0.6996 0.3004  1 Pt 1.68
H 0.3004 0.6996 0.6996  1 Pt 1.68
H 0.6996 0.3004 0.3004  1 Pt 1.68
H 0.6996 0.3004 0.6996  1 Pt 1.68
H 0.6996 0.6996 0.3004  1 Pt 1.68
Pt 0.5000 0.5000 0.5000  6 H 1.68

## Properties
mass density	7.72	g cm⁻³
symmetry	Fm-3m, No. 225


[2]
Entry from the Open Quantum Materials Database: a relaxed TlH2Pt crystal (PBE).

abc: 5.4207 5.4207 5.4548
angles: 90.08 90.08 128.15
Closest atoms and distances in Å follow each position.
Positions (direct):
Tl 0.2059 0.7941 0.7500  4 H 2.72-2.73, 1 Pt 2.93
Tl 0.7941 0.2059 0.2500  4 H 2.72-2.73, 1 Pt 2.93
H 0.2613 0.2621 0.9993  2 Pt 1.77
H 0.2621 0.2613 0.4993  2 Pt 1.77
H 0.7379 0.7387 0.5007  2 Pt 1.77
H 0.7387 0.7379 0.0007  2 Pt 1.77
Pt 0.4933 0.5067 0.2500  4 H 1.77
Pt 0.5067 0.4933 0.7500  4 H 1.77

## Properties
mass density	10.58	g cm⁻³
symmetry	C2/c, No. 15


[3]
Entry from the Open Quantum Materials Database: a relaxed Pu2H crystal (PBE).

abc: 6.8458 6.8458 6.8458
angles: 60.00 60.00 60.00
Closest atoms and distances in Å follow each position.
Positions (direct):
Pu 0.0000 0.0000 0.0000  2 H 2.10
Pu 0.0000 0.0000 0.5000  2 H 2.10
Pu 0.0000 0.5000 0.0000  2 H 2.10
Pu 0.5000 0.0000 0.0000  2 H 2.10
H 0.1250 0.1250 0.1250  4 Pu 2.10
H 0.8750 0.8750 0.8750  4 Pu 2.10

## Properties
mass density	7.16	g cm⁻³
symmetry	Fd-3m, No. 227


[4]
Entry from the Open Quantum Materials Database: a relaxed Pu3SnH crystal (PBE).

abc: 4.8060 4.8060 4.8060
angles: 90.00 90.00 90.00
Closest atoms and distances in Å follow each position.
Positions (direct):
Pu 0.0000 0.0000 0.5000  2 H 2.40
Pu 0.0000 0.5000 0.0000  2 H 2.40
Pu 0.5000 0.0000 0.0000  2 H 2.40
Sn 0.5000 0.5000 0.5000  12 Pu 3.40
H 0.0000 0.0000 0.0000  6 Pu 2.40

## Properties
mass density	12.74	g cm⁻³
symmetry	Pm-3m, No. 221


[5]
Entry from the Open Quantum Materials Database: a relaxed Pu2TcH6 crystal (PBE).

abc: 5.0668 5.0668 5.0668
angles: 60.00 60.00 60.00
Closest atoms and distances in Å follow each position.
Positions (direct):
Pu 0.2500 0.2500 0.2500  12 H 2.53
Pu 0.7500 0.7500 0.7500  12 H 2.53
Tc 0.0000 0.0000 0.0000  6 H 1.80
H 0.2509 0.2509 0.7491  1 Tc 1.80
H 0.2509 0.7491 0.2509  1 Tc 1.80
H 0.2509 0.7491 0.7491  1 Tc 1.80
H 0.7491 0.2509 0.2509  1 Tc 1.80
H 0.7491 0.2509 0.7491  1 Tc 1.80
H 0.7491 0.7491 0.2509  1 Tc 1.80

## Properties
mass density	10.69	g cm⁻³
symmetry	Fm-3m, No. 225


[6]
Entry from the Open Quantum Materials Database: a relaxed Pu2TeH2 crystal (PBE).

abc: 6.1634 6.1634 6.1634
angles: 141.68 141.68 55.32
Closest atoms and distances in Å follow each position.
Positions (direct):
Pu 0.1535 0.1535 0.0000  4 H 2.28
Pu 0.8465 0.8465 0.0000  4 H 2.28
Te 0.5000 0.5000 0.0000  8 Pu 3.32, 8 H 3.40
H 0.2500 0.7500 0.5000  4 Pu 2.28
H 0.7500 0.2500 0.5000  4 Pu 2.28

## Properties
mass density	11.48	g cm⁻³
symmetry	I4/mmm, No. 139


| no. | electronic total energy (eV/atom) | M_tot (μB/cell) |
| --- | --- | --- |
| 1 | -3.27 | 0.0 |
| 2 | -3.84 | 0.0 |
| 3 | -9.70 | 28.0 |
| 4 | -10.37 | 18.5 |
| 5 | -6.93 | 11.0 |
| 6 | -8.36 | 12.0 |